{
  "formula": "ZrPaCo",
  "functional": "PBE",
  "state": "optimized geometry",
  "dos_ef_per_ev_cell": 13.77,
  "de_polymorph_mev_per_atom": 0,
  "ef_ev_per_atom": -0.294,
  "lattice_angstrom": [[0.0000, 4.7026, 9.7584], [2.5123, 0.0000, 9.7584], [2.5123, 4.7026, 0.0000]],
  "species": ["Zr", "Zr", "Zr", "Zr", "Pa", "Pa", "Pa", "Pa", "Co", "Co", "Co", "Co"],
  "frac_coords": [[0.0415, 0.7085, 0.0415], [0.2915, 0.9585, 0.2915], [0.7085, 0.0415, 0.7085], [0.9585, 0.2915, 0.9585], [0.2931, 0.2931, 0.4569], [0.4569, 0.4569, 0.2931], [0.5431, 0.5431, 0.7069], [0.7069, 0.7069, 0.5431], [0.0022, 0.0022, 0.2478], [0.2478, 0.2478, 0.0022], [0.7522, 0.7522, 0.9978], [0.9978, 0.9978, 0.7522]]
}



{
  "formula": "MnFe2Co3",
  "functional": "PBE",
  "state": "optimized geometry",
  "dos_ef_per_ev_cell": 2.52,
  "ef_ev_per_atom": -0.050,
  "lattice_angstrom": [[2.8560, 0.0000, 0.0000], [0.0000, 2.8560, 0.0000], [0.0000, 0.0000, 8.5719]],
  "species": ["Mn", "Fe", "Fe", "Co", "Co", "Co"],
  "frac_coords": [[0.0000, 0.0000, 0.0000], [0.0000, 0.0000, 0.3338], [0.0000, 0.0000, 0.6662], [0.5000, 0.5000, 0.1731], [0.5000, 0.5000, 0.5000], [0.5000, 0.5000, 0.8269]]
}



- Number 2 is which compound?
  MnFe2Co3